{"formula": "TaVNF2", "functional": "PBE with a Hubbard U", "state": "relaxed", "de_polymorph_mev_per_atom": 500, "e_tot_ev_per_atom": -6.702, "magmom_total_mub_per_fu": 4.72, "lattice": [[-1.368, -2.010, -2.876], [-1.579, -2.404, 2.431], [-3.810, 2.540, 0.037]], "species": ["V", "Ta", "N", "F", "F"], "frac_coords": [[0.000, 0.000, 0.000], [0.500, 0.500, 0.500], [0.000, 0.000, 0.500], [0.500, 0.000, 0.000], [0.000, 0.500, 0.000]]}

***

{"formula": "TaVN2F", "functional": "PBE with a Hubbard U", "state": "relaxed", "de_polymorph_mev_per_atom": 0, "e_tot_ev_per_atom": -8.033, "magmom_total_mub_per_fu": 2.95, "lattice": [[-1.037, -3.761, 1.226], [3.931, -0.837, 0.756], [-0.430, 1.325, 3.702]], "species": ["N", "N", "F", "V", "Ta"], "frac_coords": [[0.500, 0.000, 0.000], [0.000, 0.500, 0.000], [0.000, 0.000, 0.500], [0.500, 0.500, 0.500], [0.000, 0.000, 0.000]]}

***

{"formula": "TaVN2F", "functional": "PBE with a Hubbard U", "state": "relaxed", "de_polymorph_mev_per_atom": 532, "e_tot_ev_per_atom": -7.501, "magmom_total_mub_per_fu": 2.70, "lattice": [[-1.603, 2.837, 2.202], [-2.696, 0.643, -2.790], [-2.206, -2.461, 1.565]], "species": ["N", "N", "V", "Ta", "F"], "frac_coords": [[0.500, 0.000, 0.000], [0.000, 0.500, 0.000], [0.000, 0.000, 0.000], [0.500, 0.500, 0.500], [0.000, 0.000, 0.500]]}

***

> Number 3 is which compound?

TaVN2F